{"formula": "NdCo3B4O12", "functional": "PBE+U", "state": "relaxed", "crystal_system": "trigonal", "final_energy_ev_per_atom": -7.257, "cell": [[5.969, -0.008, -0.011], [-1.446, 5.791, -0.011], [-1.446, -1.848, 5.488]], "species": ["O", "O", "O", "O", "O", "O", "O", "O", "O", "O", "O", "O", "B", "B", "B", "B", "Nd", "Co", "Co", "Co"], "fractional_positions": [[0.625, 0.775, 0.029], [0.775, 0.029, 0.625], [0.029, 0.625, 0.775], [0.500, 0.086, 0.914], [0.971, 0.225, 0.375], [0.375, 0.971, 0.225], [0.914, 0.500, 0.086], [0.225, 0.375, 0.971], [0.500, 0.352, 0.648], [0.352, 0.648, 0.500], [0.086, 0.914, 0.500], [0.648, 0.500, 0.352], [0.063, 0.500, 0.937], [0.500, 0.500, 0.500], [0.500, 0.937, 0.063], [0.937, 0.063, 0.500], [0.000, 0.000, 0.000], [0.000, 0.559, 0.441], [0.559, 0.441, 0.000], [0.441, 0.000, 0.559]]}